# 1
This record from Alexandria describes a geometry-optimized Er5SbPd2 structure. The functional is GGA-PBEsol.

Lattice parameters (Å, degrees): 7.563 7.563 13.325 90.00 90.00 90.00
Space group I4/mcm (No. 140)
Asymmetric unit:
Er  0.000  0.000  0.000 x4
Er  0.157  0.343  0.143 x16
Sb  0.000  0.000  0.250 x4
Pd  0.136  0.364  0.500 x8

- Uncorrected formation energy: -792 meV/atom
- Calculated volume: 23.817 A^3/atom
- Total magnetization: 0.00 μB per atom
- DOS(E_F): 22.52 states/eV/cell
- Density: 10.20 g/cm³


# 2
This record from Alexandria describes a geometry-optimized ErSbPd structure. The functional is GGA-PBEsol.

Lattice parameters (Å, degrees): 6.463 6.463 6.463 90.00 90.00 90.00
Space group F-43m (No. 216)
Asymmetric unit:
Er  0.000  0.000  0.000 x4
Sb  0.000  0.000  0.500 x4
Pd  0.250  0.250  0.250 x4

- Uncorrected formation energy: -1146 meV/atom
- Calculated volume: 22.498 A^3/atom
- Total magnetization: 0.00 μB per atom
- DOS(E_F): 0.09 states/eV/cell
- Density: 9.73 g/cm³


# 3
This record from Alexandria describes a geometry-optimized ErSiPd2 structure. The functional is GGA-PBEsol.

Lattice parameters (Å, degrees): 7.179 6.894 5.423 90.00 90.00 90.00
Space group Pnma (No. 62)
Asymmetric unit:
Er  0.028  0.250  0.140 x4
Si  0.121  0.750  0.360 x4
Pd  0.179  0.052  0.593 x8

- Uncorrected formation energy: -1043 meV/atom
- Calculated volume: 16.773 A^3/atom
- Total magnetization: 0.00 μB per atom
- DOS(E_F): 5.64 states/eV/cell
- Density: 10.10 g/cm³


# 4
This record from Alexandria describes a geometry-optimized ErSnPd2 structure. The functional is GGA-PBEsol.

Lattice parameters (Å, degrees): 6.644 6.644 6.644 90.00 90.00 90.00
Space group Fm-3m (No. 225)
Asymmetric unit:
Er  0.000  0.000  0.000 x4
Sn  0.000  0.000  0.500 x4
Pd  0.250  0.250  0.250 x8

- Calculated volume: 18.334 A^3/atom
- Total magnetization: 0.00 μB per atom
- Energy of formation: -0.913 eV per atom
- DOS(E_F): 7.26 states/eV/cell
- Density: 11.29 g/cm³


# 5
This record from Alexandria describes a geometry-optimized Er7Te2Pd2 structure. The functional is GGA-PBEsol.

Lattice parameters (Å, degrees): 3.858 15.390 9.411 90.00 90.00 90.00
Space group Imm2 (No. 44)
Asymmetric unit:
Er  0.000  0.000  0.000 x2
Er  0.000  0.130  0.583 x4
Er  0.000  0.318  0.375 x4
Er  0.000  0.356  0.736 x4
Te  0.000  0.000  0.337 x2
Te  0.000  0.500  0.234 x2
Pd  0.000  0.237  0.070 x4

- Uncorrected formation energy: -859 meV/atom
- Calculated volume: 25.401 A^3/atom
- Total magnetization: 0.00 μB per atom
- DOS(E_F): 16.72 states/eV/cell
- Density: 9.74 g/cm³


# 6
This record from Alexandria describes a geometry-optimized ErTlPd structure. The functional is GGA-PBEsol.

Lattice parameters (Å, degrees): 7.6129 7.6129 3.7672 90.00 90.00 120.00
Space group P-62m (No. 189)
Asymmetric unit:
Er  0.0000  0.4050  0.0000 x3
Tl  0.0000  0.7340  0.5000 x3
Pd  0.0000  0.0000  0.0000 x1
Pd  0.3333  0.6667  0.5000 x2

- Calculated volume: 21.009 A^3/atom
- Total magnetization: 0.00 μB per atom
- Energy of formation: -0.695 eV per atom
- DOS(E_F): 6.98 states/eV/cell
- Density: 12.60 g/cm³


# 7
This record from Alexandria describes a geometry-optimized Pm3Er structure. The functional is GGA-PBEsol.

Lattice parameters (Å, degrees): 4.994 4.994 4.994 90.00 90.00 90.00
Space group Pm-3m (No. 221)
Asymmetric unit:
Pm  0.000  0.000  0.500 x3
Er  0.500  0.500  0.500 x1

- Calculated volume: 31.130 A^3/atom
- Total magnetization: 0.00 μB per atom
- Energy of formation: 0.008 eV per atom
- DOS(E_F): 5.34 states/eV/cell
- Density: 8.03 g/cm³
- Excess energy over the best structure of this formula in the dataset: 0 meV/atom


# 8
This record from Alexandria describes a geometry-optimized Pm3Er structure. The functional is GGA-PBEsol.

Lattice parameters (Å, degrees): 4.999 4.999 9.976 90.00 90.00 90.00
Space group I4/mmm (No. 139)
Asymmetric unit:
Pm  0.000  0.000  0.000 x2
Pm  0.000  0.500  0.250 x4
Er  0.000  0.000  0.500 x2

- Calculated volume: 31.170 A^3/atom
- Total magnetization: 0.00 μB per atom
- Energy of formation: 0.010 eV per atom
- DOS(E_F): 10.93 states/eV/cell
- Density: 8.02 g/cm³
- Excess energy over the best structure of this formula in the dataset: 2 meV/atom


Please write out number 8 again, unchanged.
This record from Alexandria describes a geometry-optimized Pm3Er structure. The functional is GGA-PBEsol.

Lattice parameters (Å, degrees): 4.999 4.999 9.976 90.00 90.00 90.00
Space group I4/mmm (No. 139)
Asymmetric unit:
Pm  0.000  0.000  0.000 x2
Pm  0.000  0.500  0.250 x4
Er  0.000  0.000  0.500 x2

- Calculated volume: 31.170 A^3/atom
- Total magnetization: 0.00 μB per atom
- Energy of formation: 0.010 eV per atom
- DOS(E_F): 10.93 states/eV/cell
- Density: 8.02 g/cm³
- Excess energy over the best structure of this formula in the dataset: 2 meV/atom


- What is the formula in the fifth record?
  Er7Te2Pd2